Model 1:
## Li2S (GGA-PBEsol)

Data for Li2S after structural relaxation.

abc: 5.653 5.653 5.653
angles: 90.00 90.00 90.00
Space group Fm-3m (No. 225)
Unique sites:
Li: 0.250 0.250 0.250
S: 0.000 0.000 0.000

Summary:
Its calculated volume is 180.7 Å³/cell. The crystal system is cubic. As for the density: 1.689 g/cm3. For the total moment, the calculation gives 0.000 μB/atom.

Model 2:
## Li2S (GGA-PBEsol)

Data for Li2S after structural relaxation.

abc: 3.9473 3.9473 109.2280
angles: 90.00 90.00 120.00
Space group R3m (No. 160, hexagonal axes)
Unique sites:
Li: 0.0000 0.0000 0.0000
Li: 0.0000 0.0000 0.0203
Li: 0.0000 0.0000 0.1106
Li: 0.0000 0.0000 0.1556
Li: 0.0000 0.0000 0.2009
Li: 0.0000 0.0000 0.2459
Li: 0.0000 0.0000 0.2912
Li: 0.0000 0.0000 0.3634
Li: 0.0000 0.0000 0.3842
Li: 0.0000 0.0000 0.4282
Li: 0.0000 0.0000 0.4740
Li: 0.0000 0.0000 0.5190
Li: 0.0000 0.0000 0.5643
Li: 0.0000 0.0000 0.6092
Li: 0.0000 0.0000 0.6548
Li: 0.0000 0.0000 0.7275
Li: 0.0000 0.0000 0.7481
Li: 0.0000 0.0000 0.7922
Li: 0.0000 0.0000 0.8375
Li: 0.0000 0.0000 0.8825
Li: 0.0000 0.0000 0.9277
Li: 0.0000 0.0000 0.9724
S: 0.0000 0.0000 0.0418
S: 0.0000 0.0000 0.1333
S: 0.0000 0.0000 0.2235
S: 0.0000 0.0000 0.3141
S: 0.0000 0.0000 0.4056
S: 0.0000 0.0000 0.4967
S: 0.0000 0.0000 0.5869
S: 0.0000 0.0000 0.6775
S: 0.0000 0.0000 0.7700
S: 0.0000 0.0000 0.8601
S: 0.0000 0.0000 0.9503

Summary:
Its calculated volume is 1473.9 Å³/cell. The crystal system is trigonal. As for the density: 1.708 g/cm3. For the total moment, the calculation gives 0.000 μB/atom.

Model 3:
## Li2S (GGA-PBEsol)

Data for Li2S after structural relaxation.

abc: 6.223 3.766 7.173
angles: 90.00 90.00 90.00
Space group Pnma (No. 62)
Unique sites:
Li: 0.023 0.250 0.168
Li: 0.142 0.250 0.571
S: 0.245 0.750 0.389

Summary:
Its calculated volume is 168.1 Å³/cell. The crystal system is orthorhombic. As for the density: 1.816 g/cm3. For the total moment, the calculation gives 0.000 μB/atom.

Stability check: which of them is least stable? model 2.